DFT (meta-GGA SCAN) results for BaSrCu2 at its PBEsol-relaxed geometry.

a = 5.098 Å, b = 5.098 Å, c = 5.098 Å
α = 60.00°, β = 60.00°, γ = 60.00°
Sites, in units of the cell vectors:
1 Cu 0.750 0.750 0.750
2 Sr 0.250 0.250 0.250
3 Ba 0.500 0.500 0.500
4 Cu 0.000 0.000 0.000

Values from the calculation:
energy relative to the elements: 383 meV/atom